Computed, not measured: crystalline Be2TlAg at its relaxed geometry at the PBE level of DFT.

Cell and atoms, written as POSCAR:
```
Be2TlAg
1.0
-2.069 -0.266 -2.420
2.434 -0.298 -2.049
-0.106 -6.149 0.767
Be Tl Ag
2 1 1
direct
0.000 0.000 0.934
0.000 0.000 0.566
0.500 0.500 0.250
0.500 0.500 0.750
```

ΔE to the lowest computed polymorph = 128.9 meV per atom
Formation energy = 520.3 meV per atom

***

Computed, not measured: crystalline Pm4Ga2Rh at its relaxed geometry at the PBE level of DFT.

Cell and atoms, written as POSCAR:
```
Pm4Ga2Rh
1.0
-1.304 -3.806 2.490
-0.652 -4.930 -3.383
6.116 -3.712 2.026
Ga Pm Rh
2 4 1
direct
0.646 0.378 0.331
0.354 0.622 0.669
0.678 0.707 0.937
0.322 0.293 0.063
0.918 0.792 0.372
0.082 0.208 0.628
0.000 0.000 0.000
```

ΔE to the lowest computed polymorph = 0.0 meV per atom
Formation energy = -538.8 meV per atom

***

Computed, not measured: crystalline KP2Au at its relaxed geometry at the PBE level of DFT.

Cell and atoms, written as POSCAR:
```
KP2Au
1.0
4.012 0.000 0.000
0.000 5.240 0.000
0.000 0.000 5.077
K P Au
1 2 1
direct
0.000 0.500 0.500
0.500 0.000 0.289
0.500 0.000 0.711
0.000 0.000 0.000
```

ΔE to the lowest computed polymorph = 107.7 meV per atom
Formation energy = -215.1 meV per atom

***

Computed, not measured: crystalline PmPrIr at its relaxed geometry at the PBE level of DFT.

Cell and atoms, written as POSCAR:
```
PmPrIr
1.0
-0.008 0.452 -7.635
0.823 -9.575 -0.568
-6.912 4.004 4.076
Ir Pm Pr
6 6 6
direct
0.752 0.750 0.000
0.422 0.166 0.332
0.090 0.834 0.668
0.752 0.250 0.000
0.090 0.334 0.668
0.422 0.666 0.332
0.018 0.000 0.000
0.755 0.632 0.265
0.755 0.132 0.265
0.490 0.868 0.735
0.018 0.500 0.000
0.490 0.368 0.735
0.157 0.454 0.408
0.749 0.546 0.592
0.347 0.750 0.000
0.347 0.250 0.000
0.157 0.954 0.408
0.749 0.046 0.592
```

ΔE to the lowest computed polymorph = 21.2 meV per atom
Formation energy = -511.6 meV per atom

***

Computed, not measured: crystalline Tb3Al5Pd at its relaxed geometry at the PBE level of DFT.

Cell and atoms, written as POSCAR:
```
Tb3Al5Pd
1.0
4.400 0.000 0.000
0.000 6.086 -3.514
0.000 0.000 7.028
Al Tb Pd
5 3 1
direct
0.500 0.333 0.667
0.500 0.766 0.000
0.500 0.234 0.234
0.500 0.000 0.766
0.500 0.667 0.333
0.000 0.000 0.415
0.000 0.415 0.000
0.000 0.585 0.585
0.000 0.000 0.000
```

Formation energy = -649.9 meV per atom

***

Computed, not measured: crystalline Dy8Te3AsP3 at its relaxed geometry at the PBE level of DFT.

Cell and atoms, written as POSCAR:
```
Dy8Te3AsP3
1.0
-5.683 -4.496 -3.806
2.975 -2.429 7.229
-5.108 6.696 -0.284
Dy P Te As
8 3 3 1
direct
0.270 0.026 0.281
0.755 0.026 0.281
0.245 0.974 0.719
0.730 0.974 0.719
0.264 0.528 0.292
0.245 0.489 0.719
0.736 0.472 0.708
0.755 0.511 0.281
0.500 0.000 0.500
0.500 0.500 0.500
0.000 0.500 0.500
0.000 0.500 0.000
0.000 0.000 0.000
0.500 0.500 0.000
0.000 0.000 0.500
```

Formation energy from raw total energies = -1412 meV per atom

***

Record-wise size of the total moment values, in μB/cell: 0.00, 0.00, 0.00, 0.00, 0.00, 0.00
Record-wise total DFT energy (no corrections) values, in eV/cell: -10.6, -36.2, -16.1, -119.6, -43.6, -88.3
Record-wise density of states at the Fermi level values, in states/eV per atom: 0.241, 0.725, 0.646, 1.016, 0.372, 0.354